[1]
VASP calculation (PBE-GGA) on a geometry-optimized K2RbDyCl6 structure.

## Properties
formation energy from raw total energies	-2039	meV/atom
polymorph energy (0 for the lowest one)	89	meV/atom
SG	No. 225

a b c (Å): 8.102 8.102 8.102
angles (deg): 60.00 60.00 60.00
Fractional positions:
1 K 0.250 0.250 0.250
2 K 0.750 0.750 0.750
3 Rb 0.000 0.000 0.000
4 Dy 0.500 0.500 0.500
5 Cl 0.270 0.270 0.730
6 Cl 0.270 0.730 0.270
7 Cl 0.270 0.730 0.730
8 Cl 0.730 0.270 0.270
9 Cl 0.730 0.270 0.730
10 Cl 0.730 0.730 0.270



[2]
VASP calculation (PBE-GGA) on a geometry-optimized KDyScCl6 structure.

## Properties
formation energy from raw total energies	-2073	meV/atom
SG	No. 163

a b c (Å): 6.757 6.757 14.243
angles (deg): 90.00 90.00 120.00
Fractional positions:
1 K 0.000 0.000 0.000
2 K 0.000 0.000 0.500
3 Dy 0.333 0.667 0.250
4 Dy 0.667 0.333 0.750
5 Sc 0.333 0.667 0.750
6 Sc 0.667 0.333 0.250
7 Cl 0.008 0.369 0.643
8 Cl 0.008 0.639 0.857
9 Cl 0.361 0.369 0.857
10 Cl 0.361 0.992 0.643
11 Cl 0.369 0.008 0.143
12 Cl 0.369 0.361 0.357
13 Cl 0.631 0.639 0.643
14 Cl 0.631 0.992 0.857
15 Cl 0.639 0.008 0.357
16 Cl 0.639 0.631 0.143
17 Cl 0.992 0.361 0.143
18 Cl 0.992 0.631 0.357



[3]
VASP calculation (PBE-GGA) on a geometry-optimized KDySnCl6 structure.

## Properties
formation energy from raw total energies	-1821	meV/atom
SG	No. 163

a b c (Å): 7.249 7.249 13.463
angles (deg): 90.00 90.00 120.00
Fractional positions:
1 K 0.000 0.000 0.000
2 K 0.000 0.000 0.500
3 Dy 0.333 0.667 0.250
4 Dy 0.667 0.333 0.750
5 Sn 0.333 0.667 0.750
6 Sn 0.667 0.333 0.250
7 Cl 0.022 0.376 0.138
8 Cl 0.022 0.645 0.362
9 Cl 0.355 0.376 0.362
10 Cl 0.355 0.978 0.138
11 Cl 0.376 0.022 0.638
12 Cl 0.376 0.355 0.862
13 Cl 0.624 0.645 0.138
14 Cl 0.624 0.978 0.362
15 Cl 0.645 0.022 0.862
16 Cl 0.645 0.624 0.638
17 Cl 0.978 0.355 0.638
18 Cl 0.978 0.624 0.862



[4]
VASP calculation (PBE-GGA) on a geometry-optimized KSrDyCl6 structure.

## Properties
formation energy from raw total energies	-2305	meV/atom
SG	No. 163

a b c (Å): 7.353 7.353 13.255
angles (deg): 90.00 90.00 120.00
Fractional positions:
1 K 0.000 0.000 0.000
2 K 0.000 0.000 0.500
3 Sr 0.333 0.667 0.250
4 Sr 0.667 0.333 0.750
5 Dy 0.333 0.667 0.750
6 Dy 0.667 0.333 0.250
7 Cl 0.026 0.378 0.636
8 Cl 0.026 0.648 0.864
9 Cl 0.352 0.378 0.864
10 Cl 0.352 0.974 0.636
11 Cl 0.378 0.026 0.136
12 Cl 0.378 0.352 0.364
13 Cl 0.622 0.648 0.636
14 Cl 0.622 0.974 0.864
15 Cl 0.648 0.026 0.364
16 Cl 0.648 0.622 0.136
17 Cl 0.974 0.352 0.136
18 Cl 0.974 0.622 0.364



[5]
VASP calculation (PBE-GGA) on a geometry-optimized K2DyTlCl6 structure.

## Properties
formation energy from raw total energies	-1938	meV/atom
SG	No. 146

a b c (Å): 8.055 8.055 8.055
angles (deg): 57.36 57.36 57.36
Fractional positions:
1 K 0.000 0.000 0.000
2 K 0.489 0.489 0.489
3 Dy 0.697 0.697 0.697
4 Tl 0.209 0.209 0.209
5 Cl 0.035 0.459 0.807
6 Cl 0.352 0.893 0.598
7 Cl 0.459 0.807 0.035
8 Cl 0.598 0.352 0.893
9 Cl 0.807 0.035 0.459
10 Cl 0.893 0.598 0.352



[6]
VASP calculation (PBE-GGA) on a geometry-optimized KDyZnCl6 structure.

## Properties
formation energy from raw total energies	-1829	meV/atom
SG	No. 163

a b c (Å): 6.712 6.712 13.957
angles (deg): 90.00 90.00 120.00
Fractional positions:
1 K 0.000 0.000 0.000
2 K 0.000 0.000 0.500
3 Dy 0.333 0.667 0.250
4 Dy 0.667 0.333 0.750
5 Zn 0.333 0.667 0.750
6 Zn 0.667 0.333 0.250
7 Cl 0.017 0.381 0.645
8 Cl 0.017 0.636 0.855
9 Cl 0.364 0.381 0.855
10 Cl 0.364 0.983 0.645
11 Cl 0.381 0.017 0.145
12 Cl 0.381 0.364 0.355
13 Cl 0.619 0.636 0.645
14 Cl 0.619 0.983 0.855
15 Cl 0.636 0.017 0.355
16 Cl 0.636 0.619 0.145
17 Cl 0.983 0.364 0.145
18 Cl 0.983 0.619 0.355



The lowest formation energy from raw total energies belongs to which entry?
KSrDyCl6